Entry 1:
Entry from the Alexandria database: Rb2BaAg2Br7 after structural relaxation (PBE-GGA).

Cell: 5.461 5.461 14.488 Å, 79.15 79.15 90.01°
Positions (direct):
1 Rb 0.819 0.819 0.360
2 Rb 0.181 0.181 0.640
3 Ba 0.000 0.000 0.000
4 Ag 0.600 0.600 0.801
5 Ag 0.400 0.400 0.199
6 Br 0.500 0.500 0.000
7 Br 0.304 0.304 0.394
8 Br 0.696 0.696 0.606
9 Br 0.915 0.415 0.170
10 Br 0.415 0.915 0.170
11 Br 0.585 0.085 0.830
12 Br 0.085 0.585 0.830

Computed properties:
Symmetry = No. 12
N(E_F) = 0.42 states/eV per atom
Spin magnetization = 0.00 μB/atom
Formation energy (no corrections) = -118.4 kJ per mole of atoms

Entry 2:
Entry from the Alexandria database: Li3Np3ScSe8 after structural relaxation (PBE-GGA).

Cell: 8.118 8.117 7.969 Å, 120.63 90.00 120.00°
Site moments in Bohr magnetons follow the coordinates.
Positions (direct):
1 Li 0.000 0.000 0.000  -0.01
2 Li 0.000 0.500 0.000  -0.01
3 Li 0.500 0.500 0.000  -0.01
4 Np 0.500 0.000 0.500  3.74
5 Np 0.500 0.500 0.500  3.74
6 Np 0.000 0.500 0.500  3.74
7 Sc 0.000 0.000 0.500  0.07
8 Se 0.248 0.496 0.244  -0.09
9 Se 0.752 0.504 0.756  -0.09
10 Se 0.758 0.517 0.256  -0.08
11 Se 0.242 0.483 0.744  -0.08
12 Se 0.758 0.998 0.256  -0.08
13 Se 0.242 0.002 0.744  -0.08
14 Se 0.239 0.997 0.256  -0.08
15 Se 0.761 0.003 0.744  -0.08

Computed properties:
Symmetry = No. 166
N(E_F) = 1.98 states/eV per atom
Spin magnetization = 0.73 μB/atom
Formation energy (no corrections) = -123.1 kJ per mole of atoms

Entry 3:
Entry from the Alexandria database: NdMg2CuS4 after structural relaxation (PBE-GGA).

Cell: 3.810 6.533 12.859 Å, 90.00 90.00 106.95°
Positions (direct):
1 Nd 0.120 0.240 0.750
2 Nd 0.880 0.760 0.250
3 Mg 0.374 0.748 0.557
4 Mg 0.626 0.252 0.057
5 Mg 0.626 0.252 0.443
6 Mg 0.374 0.748 0.943
7 Cu 0.850 0.701 0.750
8 Cu 0.150 0.299 0.250
9 S 0.273 0.547 0.115
10 S 0.727 0.453 0.615
11 S 0.727 0.453 0.885
12 S 0.273 0.547 0.385
13 S 0.000 0.000 0.500
14 S 0.000 0.000 0.000
15 S 0.451 0.903 0.750
16 S 0.549 0.097 0.250

Computed properties:
Symmetry = No. 63
Spin magnetization = 0.00 μB/atom
Formation energy (no corrections) = -131.4 kJ per mole of atoms

Entry 4:
Entry from the Alexandria database: HgIrBr2 after structural relaxation (PBE-GGA).

Cell: 3.362 6.174 4.379 Å, 90.00 90.00 90.00°
Site moments in Bohr magnetons follow the coordinates.
Positions (direct):
1 Ir 0.000 0.500 0.500  0.25
2 Hg 0.500 0.000 0.500  0.00
3 Br 0.000 0.000 0.000  0.00
4 Br 0.500 0.500 0.000  0.01

Computed properties:
Symmetry = No. 47
N(E_F) = 1.27 states/eV per atom
Spin magnetization = 0.07 μB/atom
Formation energy (no corrections) = 76.7 kJ per mole of atoms

Entry 5:
Entry from the Alexandria database: Cs2MoRuBr6 after structural relaxation (PBE-GGA).

Cell: 7.647 7.647 7.644 Å, 59.98 59.98 90.00°
Site moments in Bohr magnetons follow the coordinates.
Positions (direct):
1 Cs 0.750 0.250 0.500  0.00
2 Cs 0.250 0.750 0.500  0.00
3 Ru 0.000 0.000 0.000  2.32
4 Mo 0.500 0.500 0.000  2.69
5 Br 0.253 0.253 0.493  0.05
6 Br 0.747 0.747 0.507  0.05
7 Br 0.254 0.254 0.000  0.05
8 Br 0.746 0.746 0.000  0.05
9 Br 0.746 0.254 0.000  0.05
10 Br 0.254 0.746 0.000  0.05

Computed properties:
Symmetry = No. 139
N(E_F) = 0.89 states/eV per atom
Spin magnetization = 0.60 μB/atom
Formation energy (no corrections) = -66.6 kJ per mole of atoms

Entry 6:
Entry from the Alexandria database: IrRuAu2 after structural relaxation (PBE-GGA).

Cell: 5.001 5.001 5.001 Å, 133.54 133.54 67.81°
Site moments in Bohr magnetons follow the coordinates.
Positions (direct):
1 Au 0.000 0.000 0.000  0.07
2 Au 0.500 0.500 0.000  0.07
3 Ir 0.250 0.750 0.500  0.44
4 Ru 0.750 0.250 0.500  1.20

Computed properties:
Formation energy = 0.5124 eV per atom
Symmetry = No. 139
N(E_F) = 1.29 states/eV per atom
Spin magnetization = 0.45 μB/atom